Here is LiLaSiPd after structural relaxation from Alexandria. Energies are from PBE-GGA.

Values from the calculation:
Raw formation energy: -584 meV per atom
Theoretical density: 6.155 g/cm³

Cell lengths 6.713, 6.713, 6.713 Å; angles 90.00, 90.00, 90.00 degrees
Space group F-43m (No. 216)
Inequivalent atoms, fractional coordinates:
Li 0.000 0.000 0.000 (multiplicity 4)
La 0.250 0.250 0.750 (multiplicity 4)
Si 0.250 0.250 0.250 (multiplicity 4)
Pd 0.000 0.000 0.500 (multiplicity 4)